Entry 1:
Here is crystalline Ca2SbIr at its relaxed geometry from the Alexandria database. Energies are from PBE-GGA.

```
Ca2SbIr
1.0
-1.9429 0.5375 2.6978
-2.9964 -2.3572 -1.6883
2.5570 -5.3299 2.9035
Ir Ca Sb
1 2 1
direct
0.5000 0.5000 0.2500 Ir
0.0000 0.0000 0.0190 Ca
0.0000 0.0000 0.4810 Ca
0.5000 0.5000 0.7500 Sb
```

Values from the calculation:
Crystal system   orthorhombic
Total moment   0.00 μB/cell
Electronic total energy   -18.74 eV per cell

Entry 2:
Here is crystalline Ca2Sb2Ir at its relaxed geometry from the Alexandria database. Energies are from PBE-GGA.

```
Ca2Sb2Ir
1.0
-1.3509 2.3318 3.7254
-5.4795 -1.5967 1.8499
3.7679 -5.6701 7.7527
Ca Sb Ir
4 4 2
direct
0.3330 0.6690 0.6650 Ca
0.0638 0.7503 0.1221 Ca
0.9362 0.2497 0.8779 Ca
0.6670 0.3310 0.3350 Ca
0.3564 0.1623 0.1249 Sb
0.1097 0.2277 0.5529 Sb
0.6436 0.8377 0.8751 Sb
0.8903 0.7723 0.4471 Sb
0.3815 0.8977 0.3393 Ir
0.6185 0.1023 0.6607 Ir
```

Values from the calculation:
Crystal system   monoclinic
Total moment   0.00 μB/cell
Electronic total energy   -49.71 eV per cell

Entry 3:
Here is crystalline Ca2SbIr at its relaxed geometry from the Alexandria database. Energies are from PBE-GGA.

```
Ca2SbIr
1.0
9.4932 0.0443 0.0262
8.8171 3.5189 0.0262
8.8171 1.7158 3.0724
Ir Ca Sb
1 2 1
direct
0.2500 0.2500 0.2500 Ir
0.5117 0.5117 0.5117 Ca
0.9883 0.9883 0.9883 Ca
0.7500 0.7500 0.7500 Sb
```

Values from the calculation:
Crystal system   trigonal
Total moment   0.00 μB/cell
Electronic total energy   -17.87 eV per cell

Entry 4:
Here is crystalline CaSb2Ir at its relaxed geometry from the Alexandria database. Energies are from PBE-GGA.

```
CaSb2Ir
1.0
-3.5287 3.6124 0.2488
-4.8463 -1.2456 0.7243
-2.2459 1.0407 4.4086
Sb Ca Ir
2 1 1
direct
0.2500 0.2500 0.2500 Sb
0.0000 0.0000 0.0000 Sb
0.5000 0.5000 0.5000 Ca
0.7500 0.7500 0.7500 Ir
```

Values from the calculation:
Crystal system   cubic
Total moment   0.00 μB/cell
Electronic total energy   -18.90 eV per cell

Entry 5:
Here is crystalline CaSbTe2Ir at its relaxed geometry from the Alexandria database. Energies are from PBE-GGA.

```
CaSbTe2Ir
1.0
-2.3718 -3.5672 -3.6173
4.5739 0.2380 -3.2338
1.9301 -3.7702 2.4524
Ca Te Ir Sb
1 2 1 1
direct
0.5000 0.5000 0.5000 Ca
0.5000 0.0000 0.0000 Te
0.0000 0.5000 0.0000 Te
0.0000 0.0000 0.0000 Ir
0.0000 0.0000 0.5000 Sb
```

Values from the calculation:
Crystal system   tetragonal
Total moment   0.00 μB/cell
Electronic total energy   -21.94 eV per cell

Entry 6:
Here is crystalline CaSbTe2Ir at its relaxed geometry from the Alexandria database. Energies are from PBE-GGA.

```
CaSbTe2Ir
1.0
5.6027 0.0000 0.0000
0.0000 5.6027 0.0000
0.0000 0.0000 5.6591
Te Ca Ir Sb
2 1 1 1
direct
0.0000 0.5000 0.0000 Te
0.5000 0.0000 0.0000 Te
0.0000 0.0000 0.0000 Ca
0.5000 0.5000 0.5000 Ir
0.0000 0.0000 0.5000 Sb
```

Values from the calculation:
Crystal system   tetragonal
Total moment   1.58 μB/cell
Electronic total energy   -14.79 eV per cell

Entry 7:
Here is crystalline CaSb2TeIr at its relaxed geometry from the Alexandria database. Energies are from PBE-GGA.

```
CaSb2TeIr
1.0
-3.5533 -0.7314 -3.5708
-2.0033 -3.7742 2.7665
-3.5313 3.8692 2.7214
Sb Ir Te Ca
2 1 1 1
direct
0.5000 0.0000 0.0000 Sb
0.0000 0.5000 0.0000 Sb
0.0000 0.0000 0.0000 Ir
0.0000 0.0000 0.5000 Te
0.5000 0.5000 0.5000 Ca
```

Values from the calculation:
Crystal system   tetragonal
Total moment   0.00 μB/cell
Electronic total energy   -22.49 eV per cell

Entry 8:
Here is crystalline CaSb2TeIr at its relaxed geometry from the Alexandria database. Energies are from PBE-GGA.

```
CaSb2TeIr
1.0
5.6097 0.0000 0.0000
0.0000 5.6097 0.0000
0.0000 0.0000 5.5146
Sb Ca Ir Te
2 1 1 1
direct
0.5000 0.0000 0.0000 Sb
0.0000 0.5000 0.0000 Sb
0.0000 0.0000 0.0000 Ca
0.5000 0.5000 0.5000 Ir
0.0000 0.0000 0.5000 Te
```

Values from the calculation:
Crystal system   tetragonal
Total moment   1.59 μB/cell
Electronic total energy   -15.17 eV per cell

Please write out number 7 again, unchanged.
Here is crystalline CaSb2TeIr at its relaxed geometry from the Alexandria database. Energies are from PBE-GGA.

```
CaSb2TeIr
1.0
-3.5533 -0.7314 -3.5708
-2.0033 -3.7742 2.7665
-3.5313 3.8692 2.7214
Sb Ir Te Ca
2 1 1 1
direct
0.5000 0.0000 0.0000 Sb
0.0000 0.5000 0.0000 Sb
0.0000 0.0000 0.0000 Ir
0.0000 0.0000 0.5000 Te
0.5000 0.5000 0.5000 Ca
```

Values from the calculation:
Crystal system   tetragonal
Total moment   0.00 μB/cell
Electronic total energy   -22.49 eV per cell